An optimized crystal structure of Mo5Rh, computed with PBE.

Values from the calculation:
Crystal system = cubic
N(E_F) = 0.938 states/eV/atom
Electronic total energy = -9.970 eV per atom
Total moment = 0.00 μB per formula unit
Space group = F-43m, No. 216
Energy of formation from the pure elements = 0.28 eV/atom

Lattice parameters (Å, degrees): 5.163 5.163 5.163 60.00 60.00 60.00
Positions (direct):
Mo (0.376, 0.376, 0.872)
Mo (0.872, 0.376, 0.376)
Mo (0.376, 0.376, 0.376)
Mo (0.750, 0.750, 0.750)
Mo (0.376, 0.872, 0.376)
Rh (0.000, 0.000, 0.000)